A plane-wave DFT calculation with meta-GGA SCAN was carried out for a crystal of GdAsO4 relaxed with PBEsol. Values from VASP.

Quantum ESPRESSO input file:
```
&SYSTEM
  ibrav = 0, nat = 24, ntyp = 3
/
ATOMIC_SPECIES
Gd 157.25 Gd.upf
As 74.92 As.upf
O 16.00 O.upf
ATOMIC_POSITIONS crystal
Gd 0.411 0.221 0.853
Gd 0.089 0.279 0.353
Gd 0.911 0.721 0.647
Gd 0.589 0.779 0.147
As 0.888 0.198 0.839
As 0.612 0.302 0.339
As 0.388 0.698 0.661
As 0.112 0.802 0.161
O 0.661 0.018 0.895
O 0.994 0.102 0.650
O 0.725 0.109 0.289
O 0.419 0.257 0.508
O 0.775 0.391 0.789
O 0.081 0.243 0.008
O 0.506 0.398 0.150
O 0.839 0.482 0.395
O 0.161 0.518 0.605
O 0.494 0.602 0.850
O 0.919 0.757 0.992
O 0.225 0.609 0.211
O 0.581 0.743 0.492
O 0.275 0.891 0.711
O 0.006 0.898 0.350
O 0.339 0.982 0.105
CELL_PARAMETERS angstrom
-0.076 2.617 6.107
-4.150 -5.346 0.285
5.381 -4.080 1.816
```

E_form (uncorrected) ... -2.53 eV/atom
Relative energy among the computed polymorphs ... 0.22 eV/f.u.

A plane-wave DFT calculation with meta-GGA SCAN was carried out for a crystal of CdAgIr2 relaxed with PBEsol. Values from VASP.

Quantum ESPRESSO input file:
```
&SYSTEM
  ibrav = 0, nat = 4, ntyp = 3
/
ATOMIC_SPECIES
Ir 192.22 Ir.upf
Ag 107.87 Ag.upf
Cd 112.41 Cd.upf
ATOMIC_POSITIONS crystal
Ir 0.250 0.250 0.251
Ir 0.750 0.750 0.749
Ag 0.500 0.500 0.500
Cd 0.000 0.000 0.000
CELL_PARAMETERS angstrom
2.784 -0.001 -0.003
1.391 2.411 -0.003
1.381 0.797 9.269
```

Formation enthalpy at 0 K ... 0.315 eV/atom

A plane-wave DFT calculation with meta-GGA SCAN was carried out for a crystal of RbLiHfBr2 relaxed with PBEsol. Values from VASP.

Quantum ESPRESSO input file:
```
&SYSTEM
  ibrav = 0, nat = 5, ntyp = 4
/
ATOMIC_SPECIES
Hf 178.49 Hf.upf
Br 79.90 Br.upf
Rb 85.47 Rb.upf
Li 6.94 Li.upf
ATOMIC_POSITIONS crystal
Hf 0.500 0.500 0.500
Br 0.000 0.000 0.500
Br 0.000 0.500 0.000
Rb 0.000 0.000 0.000
Li 0.500 0.000 0.000
CELL_PARAMETERS angstrom
5.477 0.000 0.000
0.000 5.941 0.000
0.000 0.000 5.941
```

E_form (uncorrected) ... 0.44 eV/atom

A plane-wave DFT calculation with meta-GGA SCAN was carried out for a crystal of Y2BePt relaxed with PBEsol. Values from VASP.

Quantum ESPRESSO input file:
```
&SYSTEM
  ibrav = 0, nat = 4, ntyp = 3
/
ATOMIC_SPECIES
Y 88.91 Y.upf
Be 9.01 Be.upf
Pt 195.08 Pt.upf
ATOMIC_POSITIONS crystal
Y 0.110 0.000 0.219
Y 0.395 0.500 0.789
Be 0.811 0.000 0.622
Pt 0.690 0.500 0.381
CELL_PARAMETERS angstrom
-0.147 1.233 3.731
1.256 -3.743 1.286
4.943 0.910 -2.178
```

Formation enthalpy at 0 K ... -0.831 eV/atom

A plane-wave DFT calculation with meta-GGA SCAN was carried out for a crystal of CaCdS2Cl relaxed with PBEsol. Values from VASP.

Quantum ESPRESSO input file:
```
&SYSTEM
  ibrav = 0, nat = 5, ntyp = 4
/
ATOMIC_SPECIES
Ca 40.08 Ca.upf
Cl 35.45 Cl.upf
S 32.06 S.upf
Cd 112.41 Cd.upf
ATOMIC_POSITIONS crystal
Ca 0.500 0.500 0.500
Cl 0.000 0.000 0.500
S 0.000 0.500 0.000
S 0.500 0.000 0.000
Cd 0.000 0.000 0.000
CELL_PARAMETERS angstrom
4.894 0.000 0.000
0.000 4.894 0.000
0.000 0.000 5.121
```

E_form (uncorrected) ... -0.90 eV/atom

A plane-wave DFT calculation with meta-GGA SCAN was carried out for a crystal of Si2SnO6 relaxed with PBEsol. Values from VASP.

Quantum ESPRESSO input file:
```
&SYSTEM
  ibrav = 0, nat = 18, ntyp = 3
/
ATOMIC_SPECIES
Si 28.09 Si.upf
Sn 118.71 Sn.upf
O 16.00 O.upf
ATOMIC_POSITIONS crystal
Si 0.740 0.385 0.218
Si 0.760 0.782 0.615
Si 0.240 0.218 0.385
Si 0.260 0.615 0.782
Sn 0.750 0.891 0.109
Sn 0.250 0.109 0.891
O 0.963 0.365 0.351
O 0.537 0.649 0.635
O 0.037 0.635 0.649
O 0.463 0.351 0.365
O 0.697 0.607 0.095
O 0.803 0.905 0.393
O 0.303 0.393 0.905
O 0.197 0.095 0.607
O 0.354 0.050 0.188
O 0.146 0.812 0.950
O 0.854 0.188 0.050
O 0.646 0.950 0.812
CELL_PARAMETERS angstrom
5.375 0.001 0.001
1.627 6.403 0.001
1.627 0.162 6.401
```

E_form (uncorrected) ... -2.58 eV/atom

A plane-wave DFT calculation with meta-GGA SCAN was carried out for a crystal of TlRhW2 relaxed with PBEsol. Values from VASP.

Quantum ESPRESSO input file:
```
&SYSTEM
  ibrav = 0, nat = 4, ntyp = 3
/
ATOMIC_SPECIES
Rh 102.91 Rh.upf
Tl 204.38 Tl.upf
W 183.84 W.upf
ATOMIC_POSITIONS crystal
Rh 0.500 0.500 0.000
Tl 0.000 0.000 0.000
W 0.750 0.250 0.500
W 0.250 0.750 0.500
CELL_PARAMETERS angstrom
3.814 0.000 0.000
0.000 3.814 0.000
-1.907 -1.907 4.453
```

Formation enthalpy at 0 K ... 0.545 eV/atom

A plane-wave DFT calculation with meta-GGA SCAN was carried out for a crystal of AlSi2Au relaxed with PBEsol. Values from VASP.

Quantum ESPRESSO input file:
```
&SYSTEM
  ibrav = 0, nat = 4, ntyp = 3
/
ATOMIC_SPECIES
Si 28.09 Si.upf
Au 196.97 Au.upf
Al 26.98 Al.upf
ATOMIC_POSITIONS crystal
Si 0.795 0.000 0.590
Si 0.194 0.500 0.388
Au 0.947 0.500 0.894
Al 0.568 0.000 0.136
CELL_PARAMETERS angstrom
2.791 0.000 0.000
0.000 3.368 0.000
-1.396 0.000 6.699
```

E_form (uncorrected) ... 0.15 eV/atom

A plane-wave DFT calculation with meta-GGA SCAN was carried out for a crystal of TcMoP2 relaxed with PBEsol. Values from VASP.

Quantum ESPRESSO input file:
```
&SYSTEM
  ibrav = 0, nat = 4, ntyp = 3
/
ATOMIC_SPECIES
P 30.97 P.upf
Mo 95.94 Mo.upf
Tc 98.00 Tc.upf
ATOMIC_POSITIONS crystal
P 0.043 0.043 0.086
P 0.794 0.294 0.587
Mo 0.206 0.706 0.413
Tc 0.457 0.457 0.914
CELL_PARAMETERS angstrom
3.114 0.000 0.000
0.000 3.134 0.000
-1.557 -1.567 5.665
```

Formation enthalpy at 0 K ... -0.558 eV/atom

A plane-wave DFT calculation with meta-GGA SCAN was carried out for a crystal of Sr2Ga2S5 relaxed with PBEsol. Values from VASP.

Quantum ESPRESSO input file:
```
&SYSTEM
  ibrav = 0, nat = 72, ntyp = 3
/
ATOMIC_SPECIES
Sr 87.62 Sr.upf
Ga 69.72 Ga.upf
S 32.06 S.upf
ATOMIC_POSITIONS crystal
Sr 0.252 0.745 0.691
Sr 0.752 0.255 0.809
Sr 0.248 0.245 0.309
Sr 0.748 0.755 0.191
Sr 0.748 0.255 0.309
Sr 0.248 0.745 0.191
Sr 0.752 0.755 0.691
Sr 0.252 0.245 0.809
Sr 0.501 0.525 0.803
Sr 0.001 0.475 0.697
Sr 0.999 0.025 0.197
Sr 0.499 0.975 0.303
Sr 0.499 0.475 0.197
Sr 0.999 0.525 0.303
Sr 0.001 0.975 0.803
Sr 0.501 0.025 0.697
Ga 0.440 0.702 0.451
Ga 0.940 0.298 0.049
Ga 0.060 0.202 0.549
Ga 0.560 0.798 0.951
Ga 0.560 0.298 0.549
Ga 0.060 0.702 0.951
Ga 0.940 0.798 0.451
Ga 0.440 0.202 0.049
Ga 0.225 0.464 0.027
Ga 0.725 0.536 0.473
Ga 0.275 0.964 0.973
Ga 0.775 0.036 0.527
Ga 0.775 0.536 0.973
Ga 0.275 0.464 0.527
Ga 0.725 0.036 0.027
Ga 0.225 0.964 0.473
S 0.245 0.640 0.460
S 0.745 0.360 0.040
S 0.255 0.140 0.540
S 0.755 0.860 0.960
S 0.755 0.360 0.540
S 0.255 0.640 0.960
S 0.745 0.860 0.460
S 0.245 0.140 0.040
S 0.764 0.514 0.793
S 0.264 0.486 0.707
S 0.736 0.014 0.207
S 0.236 0.986 0.293
S 0.236 0.486 0.207
S 0.736 0.514 0.293
S 0.264 0.986 0.793
S 0.764 0.014 0.707
S 0.570 0.615 0.566
S 0.994 0.778 0.279
S 0.070 0.385 0.934
S 0.430 0.885 0.066
S 0.430 0.385 0.434
S 0.930 0.615 0.066
S 0.070 0.885 0.566
S 0.570 0.115 0.934
S 0.095 0.879 0.025
S 0.595 0.121 0.475
S 0.405 0.379 0.975
S 0.905 0.621 0.525
S 0.905 0.121 0.975
S 0.405 0.879 0.525
S 0.595 0.621 0.025
S 0.095 0.379 0.475
S 0.994 0.278 0.221
S 0.494 0.722 0.279
S 0.506 0.778 0.779
S 0.006 0.222 0.721
S 0.006 0.722 0.779
S 0.506 0.278 0.721
S 0.494 0.222 0.221
S 0.930 0.115 0.434
CELL_PARAMETERS angstrom
11.103 0.000 0.000
0.000 11.928 0.000
0.000 0.000 12.388
```

E_form (uncorrected) ... -1.58 eV/atom

A plane-wave DFT calculation with meta-GGA SCAN was carried out for a crystal of TiCoCu2Au relaxed with PBEsol. Values from VASP.

Quantum ESPRESSO input file:
```
&SYSTEM
  ibrav = 0, nat = 5, ntyp = 4
/
ATOMIC_SPECIES
Co 58.93 Co.upf
Au 196.97 Au.upf
Cu 63.55 Cu.upf
Ti 47.87 Ti.upf
ATOMIC_POSITIONS crystal
Co 0.500 0.500 0.500
Au 0.000 0.000 0.500
Cu 0.000 0.500 0.000
Cu 0.500 0.000 0.000
Ti 0.000 0.000 0.000
CELL_PARAMETERS angstrom
4.446 0.000 0.000
0.000 4.446 0.000
0.000 0.000 4.774
```

Formation enthalpy at 0 K ... 1.297 eV/atom

A plane-wave DFT calculation with meta-GGA SCAN was carried out for a crystal of Os3PdS relaxed with PBEsol. Values from VASP.

Quantum ESPRESSO input file:
```
&SYSTEM
  ibrav = 0, nat = 5, ntyp = 3
/
ATOMIC_SPECIES
S 32.06 S.upf
Os 190.23 Os.upf
Pd 106.42 Pd.upf
ATOMIC_POSITIONS crystal
S 0.000 0.000 0.000
Os 0.000 0.500 0.000
Os 0.000 0.000 0.500
Os 0.500 0.000 0.000
Pd 0.500 0.500 0.500
CELL_PARAMETERS angstrom
4.275 0.000 0.000
0.000 4.275 0.000
0.000 0.000 4.275
```

E_form (uncorrected) ... 1.27 eV/atom
Relative energy among the computed polymorphs ... 0.00 eV/f.u.